--- one ---
# PaGaI6, relaxed, DFT GGA-PBE
data_PaGaI6
_space_group_name_H-M_alt 'R -3'
_space_group_IT_number 148
_space_group_name_Hall '-R 3'
_cell_length_a 7.8387
_cell_length_b 7.8387
_cell_length_c 21.1382
_cell_angle_alpha 90.00
_cell_angle_beta 90.00
_cell_angle_gamma 120.00
loop_
_atom_site_label
_atom_site_fract_x
_atom_site_fract_y
_atom_site_fract_z
_atom_site_occupancy
Pa1 0.0000 0.0000 0.0000 1
Ga1 0.0000 0.0000 0.5000 1
I1 0.0045 0.6935 0.9196 1
# - Magnetic moment: 0.000 μB/atom

--- two ---
# PaGaI6, relaxed, DFT GGA-PBE
data_PaGaI6
_space_group_name_H-M_alt 'C 1 2/m 1'
_space_group_IT_number 12
_cell_length_a 7.8120
_cell_length_b 13.9096
_cell_length_c 7.7771
_cell_angle_alpha 90.00
_cell_angle_beta 107.44
_cell_angle_gamma 90.00
loop_
_space_group_symop_operation_xyz
'x,y,z'
'-x,-y,-z'
'-x,y,-z'
'x,-y,z'
'x+1/2,y+1/2,z'
'-x+1/2,-y+1/2,-z'
'-x+1/2,y+1/2,-z'
'x+1/2,-y+1/2,z'
loop_
_atom_site_label
_atom_site_fract_x
_atom_site_fract_y
_atom_site_fract_z
_atom_site_occupancy
Pa1 0.0000 0.0000 0.0000 1
Ga1 0.0000 0.5000 0.5000 1
I1 0.2269 0.1481 0.2346 1
I2 0.2396 0.0000 0.7716 1
# - Magnetic moment: 0.000 μB/atom

Relative calculated energies, zero for the most stable structure, unit kJ/mol of atoms: one 1.4; two 0.0.

--- one ---
# PaGa2I8, relaxed, DFT GGA-PBE
data_PaGa2I8
_space_group_name_H-M_alt 'C 1 2/m 1'
_space_group_IT_number 12
_cell_length_a 13.5975
_cell_length_b 11.4435
_cell_length_c 8.1616
_cell_angle_alpha 90.00
_cell_angle_beta 104.83
_cell_angle_gamma 90.00
loop_
_space_group_symop_operation_xyz
'x,y,z'
'-x,-y,-z'
'-x,y,-z'
'x,-y,z'
'x+1/2,y+1/2,z'
'-x+1/2,-y+1/2,-z'
'-x+1/2,y+1/2,-z'
'x+1/2,-y+1/2,z'
loop_
_atom_site_label
_atom_site_fract_x
_atom_site_fract_y
_atom_site_fract_z
_atom_site_occupancy
Pa1 0.0000 0.0000 0.0000 1
Ga1 0.1951 0.0000 0.6491 1
I1 0.0780 0.1771 0.7989 1
I2 0.1131 0.5000 0.1599 1
I3 0.1989 0.0000 0.2528 1
# - N(E_F): 11.91 states/eV per cell
# - Magnetic moment: 0.020 μB/atom

--- two ---
# PaGa2I8, relaxed, DFT GGA-PBE
data_PaGa2I8
_space_group_name_H-M_alt 'C 1 2/m 1'
_space_group_IT_number 12
_cell_length_a 16.3483
_cell_length_b 9.4783
_cell_length_c 8.2350
_cell_angle_alpha 90.00
_cell_angle_beta 115.99
_cell_angle_gamma 90.00
loop_
_space_group_symop_operation_xyz
'x,y,z'
'-x,-y,-z'
'-x,y,-z'
'x,-y,z'
'x+1/2,y+1/2,z'
'-x+1/2,-y+1/2,-z'
'-x+1/2,y+1/2,-z'
'x+1/2,-y+1/2,z'
loop_
_atom_site_label
_atom_site_fract_x
_atom_site_fract_y
_atom_site_fract_z
_atom_site_occupancy
Pa1 0.0000 0.0000 0.0000 1
Ga1 0.1992 0.0000 0.1279 1
I1 0.0844 0.0000 0.7332 1
I2 0.1165 0.2375 0.2395 1
I3 0.1297 0.5000 0.7483 1
# - N(E_F): 9.89 states/eV per cell
# - Magnetic moment: 0.000 μB/atom

Relative calculated energies, zero for the most stable structure, unit kJ/mol of atoms: one 0.0; two 0.5.

--- one ---
# Ga2Pb2I, relaxed, DFT GGA-PBE
data_Ga2Pb2I
_space_group_name_H-M_alt 'I 4/m m m'
_space_group_IT_number 139
_space_group_name_Hall '-I 4 2'
_cell_length_a 3.8828
_cell_length_b 3.8828
_cell_length_c 19.3850
_cell_angle_alpha 90.00
_cell_angle_beta 90.00
_cell_angle_gamma 90.00
loop_
_atom_site_label
_atom_site_fract_x
_atom_site_fract_y
_atom_site_fract_z
_atom_site_occupancy
Ga1 0.0000 0.5000 0.2500 1
Pb1 0.0000 0.0000 0.1212 1
I1 0.0000 0.0000 0.5000 1
# - N(E_F): 3.67 states/eV per cell
# - Magnetic moment: 0.000 μB/atom

--- two ---
# Ga2Pb2I, relaxed, DFT GGA-PBE
data_Ga2Pb2I
_space_group_name_H-M_alt 'P 4/m b m'
_space_group_IT_number 127
_space_group_name_Hall '-P 4 2ab'
_cell_length_a 9.0509
_cell_length_b 9.0509
_cell_length_c 3.6725
_cell_angle_alpha 90.00
_cell_angle_beta 90.00
_cell_angle_gamma 90.00
loop_
_atom_site_label
_atom_site_fract_x
_atom_site_fract_y
_atom_site_fract_z
_atom_site_occupancy
Ga1 0.1036 0.3964 0.0000 1
Pb1 0.1948 0.6948 0.5000 1
I1 0.0000 0.0000 0.5000 1
# - N(E_F): 5.27 states/eV per cell
# - Magnetic moment: 0.000 μB/atom

Relative calculated energies, zero for the most stable structure, unit kJ/mol of atoms: one 0.0; two 8.8.

--- one ---
# GaPbI4, relaxed, DFT GGA-PBE
data_GaPbI4
_space_group_name_H-M_alt 'C 1 2/m 1'
_space_group_IT_number 12
_cell_length_a 16.8560
_cell_length_b 4.3496
_cell_length_c 7.8658
_cell_angle_alpha 90.00
_cell_angle_beta 116.97
_cell_angle_gamma 90.00
loop_
_space_group_symop_operation_xyz
'x,y,z'
'-x,-y,-z'
'-x,y,-z'
'x,-y,z'
'x+1/2,y+1/2,z'
'-x+1/2,-y+1/2,-z'
'-x+1/2,y+1/2,-z'
'x+1/2,-y+1/2,z'
loop_
_atom_site_label
_atom_site_fract_x
_atom_site_fract_y
_atom_site_fract_z
_atom_site_occupancy
Ga1 0.0000 0.0000 0.0000 1
Pb1 0.0000 0.5000 0.5000 1
I1 0.1175 0.5000 0.9627 1
I2 0.1236 0.0000 0.4279 1
# - N(E_F): 8.58 states/eV per cell
# - Magnetic moment: 0.000 μB/atom

--- two ---
# GaPbI4, relaxed, DFT GGA-PBE
data_GaPbI4
_space_group_name_H-M_alt 'C 1 2 1'
_space_group_IT_number 5
_cell_length_a 8.9460
_cell_length_b 9.0728
_cell_length_c 7.9450
_cell_angle_alpha 90.00
_cell_angle_beta 124.25
_cell_angle_gamma 90.00
loop_
_space_group_symop_operation_xyz
'x,y,z'
'-x,y,-z'
'x+1/2,y+1/2,z'
'-x+1/2,y+1/2,-z'
loop_
_atom_site_label
_atom_site_fract_x
_atom_site_fract_y
_atom_site_fract_z
_atom_site_occupancy
Ga1 0.0000 0.0000 0.0000 1
Pb1 0.0000 0.6930 0.5000 1
I1 0.2231 0.9426 0.4454 1
I2 0.2484 0.1891 0.0038 1
# - N(E_F): 4.97 states/eV per cell
# - Magnetic moment: 0.000 μB/atom

Relative calculated energies, zero for the most stable structure, unit kJ/mol of atoms: one 0.0; two 2.0.

--- one ---
# Ga2PbI6, relaxed, DFT GGA-PBE
data_Ga2PbI6
_space_group_name_H-M_alt 'R 3'
_space_group_IT_number 146
_space_group_name_Hall 'R 3'
_cell_length_a 7.7137
_cell_length_b 7.7137
_cell_length_c 25.3351
_cell_angle_alpha 90.00
_cell_angle_beta 90.00
_cell_angle_gamma 120.00
loop_
_atom_site_label
_atom_site_fract_x
_atom_site_fract_y
_atom_site_fract_z
_atom_site_occupancy
Ga1 0.0000 0.0000 0.0000 1
Ga2 0.0000 0.0000 0.0959 1
Pb1 0.0000 0.0000 0.7150 1
I1 0.0275 0.3357 0.8007 1
I2 0.0286 0.6942 0.6287 1
# - N(E_F): 0.00 states/eV per cell
# - Magnetic moment: 0.000 μB/atom

--- two ---
# Ga2PbI6, relaxed, DFT GGA-PBE
data_Ga2PbI6
_space_group_name_H-M_alt 'C 1 2/m 1'
_space_group_IT_number 12
_cell_length_a 14.4809
_cell_length_b 5.1582
_cell_length_c 11.5304
_cell_angle_alpha 90.00
_cell_angle_beta 90.49
_cell_angle_gamma 90.00
loop_
_space_group_symop_operation_xyz
'x,y,z'
'-x,-y,-z'
'-x,y,-z'
'x,-y,z'
'x+1/2,y+1/2,z'
'-x+1/2,-y+1/2,-z'
'-x+1/2,y+1/2,-z'
'x+1/2,-y+1/2,z'
loop_
_atom_site_label
_atom_site_fract_x
_atom_site_fract_y
_atom_site_fract_z
_atom_site_occupancy
Ga1 0.2183 0.0000 0.2896 1
Pb1 0.0000 0.5000 0.0000 1
I1 0.0964 0.5000 0.7481 1
I2 0.1385 0.0000 0.0625 1
I3 0.1794 0.5000 0.3616 1
# - N(E_F): 4.61 states/eV per cell
# - Magnetic moment: 0.000 μB/atom

Relative calculated energies, zero for the most stable structure, unit kJ/mol of atoms: one 0.0; two 11.8.

--- one ---
# Ga2PbI, relaxed, DFT GGA-PBE
data_Ga2PbI
_space_group_name_H-M_alt 'I -4 2 d'
_space_group_IT_number 122
_space_group_name_Hall 'I -4 2bw'
_cell_length_a 6.6308
_cell_length_b 6.6308
_cell_length_c 14.4286
_cell_angle_alpha 90.00
_cell_angle_beta 90.00
_cell_angle_gamma 90.00
loop_
_atom_site_label
_atom_site_fract_x
_atom_site_fract_y
_atom_site_fract_z
_atom_site_occupancy
Ga1 0.2151 0.2500 0.1250 1
Pb1 0.0000 0.0000 0.0000 1
I1 0.0000 0.0000 0.5000 1
# - N(E_F): 5.08 states/eV per cell
# - Magnetic moment: 0.000 μB/atom

--- two ---
# Ga2PbI, relaxed, DFT GGA-PBE
data_Ga2PbI
_space_group_name_H-M_alt 'F m -3 m'
_space_group_IT_number 225
_space_group_name_Hall '-F 4 2 3'
_cell_length_a 7.6369
_cell_length_b 7.6369
_cell_length_c 7.6369
_cell_angle_alpha 90.00
_cell_angle_beta 90.00
_cell_angle_gamma 90.00
loop_
_atom_site_label
_atom_site_fract_x
_atom_site_fract_y
_atom_site_fract_z
_atom_site_occupancy
Ga1 0.2500 0.2500 0.2500 1
Pb1 0.0000 0.0000 0.0000 1
I1 0.0000 0.0000 0.5000 1
# - N(E_F): 8.23 states/eV per cell
# - Magnetic moment: 0.000 μB/atom

Relative calculated energies, zero for the most stable structure, unit kJ/mol of atoms: one 0.0; two 2.9.